A geometry-optimized VPb2F8 structure, computed with PBE with a Hubbard U.

VASP energy   -5.1154 eV per atom

Lattice parameters (Å, degrees): 3.9829 5.3533 8.1194 107.26 104.20 90.00
With the nearest neighbours (Å) after each atom.
Fractional positions:
V 0.5000 0.0000 0.0000  4 F 1.87-1.91
Pb 0.8408 0.3879 0.6817  8 F 2.45-2.71
Pb 0.1592 0.6121 0.3183  8 F 2.45-2.71
F 0.3973 0.6978 0.7946  1 V 1.91
F 0.5847 0.8188 0.1694  1 V 1.87
F 0.7622 0.7175 0.5244  3 Pb 2.45-2.52
F 0.0105 0.2171 0.0210  5 F 2.25-2.46, 2 V 2.29
F 0.2378 0.2825 0.4756  3 Pb 2.45-2.52
F 0.4153 0.1812 0.8306  1 V 1.87
F 0.6027 0.3022 0.2054  1 V 1.91
F 0.9895 0.7829 0.9790  5 F 2.25-2.46, 2 V 2.29